## CaSm2Lu (GGA-PBE)

Data for a geometry-optimized CaSm2Lu structure.

```
CaSm2Lu
1.0
8.153 0.000 0.000
0.000 8.153 0.000
0.000 0.000 8.153
Ca Sm Lu
4 8 4
Direct
0.000 0.000 0.000
0.000 0.500 0.500
0.500 0.000 0.500
0.500 0.500 0.000
0.250 0.250 0.250
0.250 0.250 0.750
0.250 0.750 0.250
0.250 0.750 0.750
0.750 0.250 0.250
0.750 0.250 0.750
0.750 0.750 0.250
0.750 0.750 0.750
0.000 0.000 0.500
0.000 0.500 0.000
0.500 0.000 0.000
0.500 0.500 0.500
```

size of the total moment = 0.0 Bohr magnetons per cell
volume = 33.9 A^3/atom
D(E_F) = 5.78 states/eV/f.u.
E = -3.863 eV per atom
formation enthalpy at 0 K = 0.127 eV/atom

---

## TbCe4Pb5 (GGA-PBE)

Data for a geometry-optimized TbCe4Pb5 structure.

```
TbCe4Pb5
1.0
4.191 0.000 0.000
0.000 4.191 0.000
0.000 0.000 16.784
Tb Ce Pb
1 4 5
Direct
0.000 0.000 0.000
0.000 0.000 0.204
0.000 0.000 0.402
0.000 0.000 0.598
0.000 0.000 0.796
0.500 0.500 0.099
0.500 0.500 0.301
0.500 0.500 0.500
0.500 0.500 0.699
0.500 0.500 0.901
```

size of the total moment = 4.9 Bohr magnetons per cell
volume = 29.5 A^3/atom
D(E_F) = 25.83 states/eV/f.u.
E = -5.088 eV per atom
formation enthalpy at 0 K = -0.397 eV/atom

---

## TlPdS (GGA-PBE)

Data for a geometry-optimized TlPdS structure.

```
TlPdS
1.0
13.780 0.000 0.000
0.000 3.621 0.000
-0.151 0.000 5.743
Tl Pd S
4 4 4
Direct
0.160 0.000 0.162
0.340 0.500 0.838
0.660 0.500 0.162
0.840 0.000 0.838
0.000 0.000 0.500
0.000 0.500 0.000
0.500 0.000 0.000
0.500 0.500 0.500
0.093 0.500 0.663
0.407 0.000 0.337
0.593 0.000 0.663
0.907 0.500 0.337
```

size of the total moment = 0.0 Bohr magnetons per cell
volume = 23.9 A^3/atom
D(E_F) = 0.25 states/eV/f.u.
E = -4.216 eV per atom

---

## SrCaScZn2 (GGA-PBE)

Data for a geometry-optimized SrCaScZn2 structure.

```
SrCaScZn2
1.0
5.449 0.000 0.000
0.000 5.449 0.000
0.000 0.000 5.480
Sr Ca Sc Zn
1 1 1 2
Direct
0.000 0.000 0.000
0.500 0.500 0.500
0.500 0.500 0.000
0.000 0.500 0.500
0.500 0.000 0.500
```

size of the total moment = 0.0 Bohr magnetons per cell
volume = 32.5 A^3/atom
D(E_F) = 5.43 states/eV/f.u.
E = -1.915 eV per atom
formation enthalpy at 0 K = 0.598 eV/atom

---

## SrNiCl2 (GGA-PBE)

Data for a geometry-optimized SrNiCl2 structure.

```
SrNiCl2
1.0
3.699 0.000 0.000
0.000 3.811 0.000
-0.219 0.000 6.151
Sr Ni Cl
1 1 2
Direct
0.000 0.000 0.000
0.500 0.000 0.500
0.485 0.500 0.743
0.515 0.500 0.257
```

size of the total moment = 0.1 Bohr magnetons per cell
volume = 21.7 A^3/atom
D(E_F) = 2.16 states/eV/f.u.
E = -3.700 eV per atom

---

## SbAsRuSe2 (GGA-PBE)

Data for a geometry-optimized SbAsRuSe2 structure.

```
SbAsRuSe2
1.0
5.025 0.000 0.000
0.000 5.025 0.000
0.000 0.000 4.613
Sb As Ru Se
1 1 1 2
Direct
0.000 0.000 0.000
0.500 0.500 0.000
0.500 0.500 0.500
0.000 0.500 0.500
0.500 0.000 0.500
```

size of the total moment = 0.0 Bohr magnetons per cell
volume = 23.3 A^3/atom
D(E_F) = 6.27 states/eV/f.u.
E = -4.601 eV per atom

---

## PmSmGeS (GGA-PBE)

Data for a geometry-optimized PmSmGeS structure.

```
PmSmGeS
1.0
4.147 0.000 0.000
-2.073 3.591 0.000
0.000 0.000 20.438
Pm Sm Ge S
3 3 3 3
Direct
0.000 0.000 0.000
0.333 0.667 0.667
0.667 0.333 0.333
0.000 0.000 0.501
0.333 0.667 0.168
0.667 0.333 0.835
0.000 0.000 0.751
0.333 0.667 0.418
0.667 0.333 0.084
0.000 0.000 0.250
0.333 0.667 0.917
0.667 0.333 0.583
```

size of the total moment = 0.0 Bohr magnetons per cell
volume = 25.4 A^3/atom
D(E_F) = 1.50 states/eV/f.u.
E = -6.010 eV per atom

---

## Zr2GaP (GGA-PBE)

Data for a geometry-optimized Zr2GaP structure.

```
Zr2GaP
1.0
5.774 0.000 0.000
0.000 5.774 0.000
0.000 0.000 12.881
Zr Ga P
8 4 4
Direct
0.231 0.250 0.125
0.250 0.731 0.375
0.250 0.769 0.875
0.269 0.250 0.625
0.731 0.750 0.625
0.750 0.231 0.875
0.750 0.269 0.375
0.769 0.750 0.125
0.000 0.000 0.500
0.000 0.500 0.750
0.500 0.000 0.250
0.500 0.500 0.000
0.000 0.000 0.000
0.000 0.500 0.250
0.500 0.000 0.750
0.500 0.500 0.500
```

size of the total moment = 0.0 Bohr magnetons per cell
volume = 26.8 A^3/atom
D(E_F) = 1.06 states/eV/f.u.
E = -6.343 eV per atom
formation enthalpy at 0 K = 0.041 eV/atom

---

## SrMg3 (GGA-PBE)

Data for a geometry-optimized SrMg3 structure.

```
SrMg3
1.0
3.680 0.000 0.000
-1.840 3.187 0.000
0.000 0.000 31.628
Sr Mg
3 9
Direct
0.000 0.000 0.000
0.333 0.667 0.667
0.667 0.333 0.333
0.000 0.000 0.240
0.000 0.000 0.500
0.000 0.000 0.760
0.333 0.667 0.167
0.333 0.667 0.426
0.333 0.667 0.907
0.667 0.333 0.093
0.667 0.333 0.574
0.667 0.333 0.833
```

size of the total moment = 0.0 Bohr magnetons per cell
volume = 30.9 A^3/atom
D(E_F) = 2.48 states/eV/f.u.
E = -1.454 eV per atom
formation enthalpy at 0 K = 0.163 eV/atom

---

## CaLa2Be2 (GGA-PBE)

Data for a geometry-optimized CaLa2Be2 structure.

```
CaLa2Be2
1.0
8.275 0.000 0.000
0.000 8.275 0.000
0.000 0.000 3.856
Ca La Be
2 4 4
Direct
0.000 0.000 0.000
0.500 0.500 0.000
0.177 0.323 0.500
0.323 0.823 0.500
0.677 0.177 0.500
0.823 0.677 0.500
0.101 0.601 0.000
0.399 0.101 0.000
0.601 0.899 0.000
0.899 0.399 0.000
```

size of the total moment = 0.0 Bohr magnetons per cell
volume = 26.4 A^3/atom
D(E_F) = 7.02 states/eV/f.u.
E = -3.613 eV per atom
formation enthalpy at 0 K = 0.249 eV/atom

---

## Co2AsW (GGA-PBE)

Data for a geometry-optimized Co2AsW structure.

```
Co2AsW
1.0
2.802 0.000 0.000
0.000 2.802 0.000
0.000 0.000 6.625
Co As W
2 1 1
Direct
0.000 0.000 0.228
0.000 0.000 0.772
0.500 0.500 0.000
0.500 0.500 0.500
```

size of the total moment = 1.6 Bohr magnetons per cell
volume = 13.0 A^3/atom
D(E_F) = 2.92 states/eV/f.u.
E = -7.851 eV per atom
formation enthalpy at 0 K = 0.102 eV/atom

---

## BaLa2RhO5 (GGA-PBE)

Data for a geometry-optimized BaLa2RhO5 structure.

```
BaLa2RhO5
1.0
-2.033 3.023 5.963
2.033 -3.023 5.963
2.033 3.023 -5.963
Ba La Rh O
1 2 1 5
Direct
0.000 0.000 0.000
0.298 0.798 0.500
0.702 0.202 0.500
0.500 0.500 0.000
0.110 0.353 0.757
0.404 0.647 0.757
0.500 0.000 0.500
0.596 0.353 0.243
0.890 0.647 0.243
```

size of the total moment = 0.7 Bohr magnetons per cell
volume = 16.3 A^3/atom
D(E_F) = 3.61 states/eV/f.u.
E = -7.353 eV per atom